A relaxed BaY2As crystal. Source: Alexandria via LeMat-Bulk, functional PBE-GGA.

a b c (Å): 7.0059 7.0059 7.0059
angles (deg): 147.02 137.46 54.85
Atoms (fractional coordinates):
1 Y 0.9931 0.9931 0.0000
2 Y 0.6898 0.1898 0.5000
3 Ba 0.2940 0.7940 0.5000
4 As 0.5231 0.5231 0.0000

Output
size of the total moment = 0.0 μB/f.u.
space group = Imm2
D(E_F) = 4.7 states/eV/f.u.
V = 31.43 Å³/atom
formation energy = -0.353 eV/atom